Entry 1:
# K2NpGaS4

K2NpGaS4 after structural relaxation (PBE, Alexandria via LeMat-Bulk).

Summary:
**Electronic total energy**: -5.38 eV/atom
**Theoretical density**: 4.03 g/cm³
**Formation energy from raw total energies**: -8.38 eV per formula unit

Cell lengths 8.4244, 8.4244, 8.4244 Å; angles 121.81, 117.94, 90.25 degrees
Fractional coordinates of all 16 atoms:
K: 0.0000 0.0000 0.0000
K: 0.5000 0.0000 0.0000
K: 0.5000 0.0000 0.5000
K: 0.5000 0.5000 0.5000
Np: 0.0000 0.0000 0.5000
Np: 0.0000 0.5000 0.0000
Ga: 0.0000 0.5000 0.5000
Ga: 0.5000 0.5000 0.0000
S: 0.1962 0.7408 0.4554
S: 0.2140 0.2337 0.5197
S: 0.2140 0.6944 0.9803
S: 0.2145 0.2592 0.9554
S: 0.7855 0.7408 0.0446
S: 0.7860 0.3056 0.0197
S: 0.7860 0.7663 0.4803
S: 0.8038 0.2592 0.5446


Entry 2:
# V2CrMo

V2CrMo after structural relaxation (PBE, Alexandria via LeMat-Bulk).

Summary:
**Distance to the lowest polymorph of the same formula**: 0.007 eV/atom
**Electronic total energy**: -9.75 eV/atom
**Theoretical density**: 7.66 g/cm³

Cell lengths 5.0051, 5.0051, 5.0051 Å; angles 145.05, 130.32, 62.19 degrees
Fractional coordinates of all 4 atoms:
V: 0.0000 0.0000 0.0000
V: 0.7438 0.2438 0.5000
Cr: 0.4977 0.4977 0.0000
Mo: 0.2530 0.7530 0.5000


Entry 3:
# LaRu2Pt

LaRu2Pt after structural relaxation (PBE, Alexandria via LeMat-Bulk).

Summary:
**Distance to the lowest polymorph of the same formula**: 0.136 eV/atom
**Electronic total energy**: -7.41 eV/atom
**Theoretical density**: 12.37 g/cm³

Cell lengths 4.1672, 4.1672, 4.1454 Å; angles 90.00, 90.00, 90.00 degrees
Fractional coordinates of all 4 atoms:
La: 0.0000 0.0000 0.0000
Ru: 0.0000 0.5000 0.5000
Ru: 0.5000 0.0000 0.5000
Pt: 0.5000 0.5000 0.0000


Entry 4:
# SrTaNi2

SrTaNi2 after structural relaxation (PBE, Alexandria via LeMat-Bulk).

Summary:
**Distance to the lowest polymorph of the same formula**: 0.801 eV/atom
**Electronic total energy**: -5.49 eV/atom
**Theoretical density**: 9.62 g/cm³

Cell lengths 4.5505, 4.5505, 4.5505 Å; angles 60.00, 60.00, 60.00 degrees
Fractional coordinates of all 4 atoms:
Sr: 0.0000 0.0000 0.0000
Ta: 0.2500 0.2500 0.2500
Ni: 0.5000 0.5000 0.5000
Ni: 0.7500 0.7500 0.7500


Entry 5:
# TmZn4Cd8

TmZn4Cd8 after structural relaxation (PBE, Alexandria via LeMat-Bulk).

Summary:
**Electronic total energy**: -1.37 eV/atom
**Theoretical density**: 8.46 g/cm³

Cell lengths 7.3447, 7.3447, 7.3447 Å; angles 98.63, 98.63, 134.42 degrees
Fractional coordinates of all 13 atoms:
Tm: 0.0000 0.0000 0.0000
Zn: 0.0000 0.0000 0.5000
Zn: 0.0000 0.5000 0.0000
Zn: 0.5000 0.0000 0.0000
Zn: 0.5000 0.5000 0.5000
Cd: 0.0000 0.3432 0.3432
Cd: 0.0000 0.6568 0.6568
Cd: 0.2837 0.5000 0.7837
Cd: 0.3432 0.0000 0.3432
Cd: 0.5000 0.2837 0.7837
Cd: 0.5000 0.7163 0.2163
Cd: 0.6568 0.0000 0.6568
Cd: 0.7163 0.5000 0.2163


Entry 6:
# CsNiOs2

CsNiOs2 after structural relaxation (PBE, Alexandria via LeMat-Bulk).

Summary:
**Electronic total energy**: -4.99 eV/atom
**Theoretical density**: 13.86 g/cm³

Cell lengths 4.5939, 4.5939, 4.5939 Å; angles 60.00, 60.00, 60.00 degrees
Fractional coordinates of all 4 atoms:
Cs: 0.0000 0.0000 0.0000
Ni: 0.5000 0.5000 0.5000
Os: 0.2500 0.2500 0.2500
Os: 0.7500 0.7500 0.7500


Entry 7:
# Nd3InSn2

Nd3InSn2 after structural relaxation (PBE, Alexandria via LeMat-Bulk).

Summary:
**Distance to the lowest polymorph of the same formula**: 0.035 eV/atom
**Electronic total energy**: -4.76 eV/atom
**Theoretical density**: 7.43 g/cm³

Cell lengths 9.2107, 9.2107, 6.3873 Å; angles 101.51, 101.51, 41.51 degrees
Fractional coordinates of all 12 atoms:
Nd: 0.1339 0.8661 0.7500
Nd: 0.2118 0.4438 0.3967
Nd: 0.4438 0.2118 0.8967
Nd: 0.5562 0.7882 0.1033
Nd: 0.7882 0.5562 0.6033
Nd: 0.8661 0.1339 0.2500
In: 0.3720 0.6280 0.2500
In: 0.6280 0.3720 0.7500
Sn: 0.0497 0.2691 0.0614
Sn: 0.2691 0.0497 0.5614
Sn: 0.7309 0.9503 0.4386
Sn: 0.9503 0.7309 0.9386


Entry 8:
# TlOs2Br

TlOs2Br after structural relaxation (PBE, Alexandria via LeMat-Bulk).

Summary:
**Distance to the lowest polymorph of the same formula**: 0.756 eV/atom
**Electronic total energy**: -5.33 eV/atom
**Theoretical density**: 15.77 g/cm³
**Formation energy from raw total energies**: 5.19 eV per formula unit

Cell lengths 8.9299, 8.9299, 8.9299 Å; angles 19.59, 19.59, 19.59 degrees
Fractional coordinates of all 4 atoms:
Tl: 0.0000 0.0000 0.0000
Os: 0.2462 0.2462 0.2462
Os: 0.7538 0.7538 0.7538
Br: 0.5000 0.5000 0.5000


Entry 9:
# ErZrInRu

ErZrInRu after structural relaxation (PBE, Alexandria via LeMat-Bulk).

Summary:
**Distance to the lowest polymorph of the same formula**: 0.193 eV/atom
**Electronic total energy**: -6.56 eV/atom
**Theoretical density**: 9.34 g/cm³

Cell lengths 4.9218, 4.9218, 4.9218 Å; angles 60.00, 60.00, 60.00 degrees
Fractional coordinates of all 4 atoms:
Er: 0.0000 0.0000 0.0000
Zr: 0.5000 0.5000 0.5000
In: 0.7500 0.7500 0.7500
Ru: 0.2500 0.2500 0.2500


Entry 10:
# ScHgAu2

ScHgAu2 after structural relaxation (PBE, Alexandria via LeMat-Bulk).

Summary:
**Electronic total energy**: -3.67 eV/atom
**Theoretical density**: 12.97 g/cm³

Cell lengths 3.3369, 4.3252, 5.9084 Å; angles 90.00, 106.26, 90.00 degrees
Fractional coordinates of all 4 atoms:
Sc: 0.0000 0.0000 0.0000
Hg: 0.3350 0.5000 0.6693
Au: 0.5847 0.5000 0.1704
Au: 0.7398 0.0000 0.4772


Entry 11:
# Cs2HCBr6

Cs2HCBr6 after structural relaxation (PBE, Alexandria via LeMat-Bulk).

Summary:
**Electronic total energy**: -2.50 eV/atom
**Theoretical density**: 4.14 g/cm³

Cell lengths 8.1995, 8.1995, 8.1995 Å; angles 131.34, 131.34, 71.27 degrees
Fractional coordinates of all 10 atoms:
Cs: 0.2500 0.7500 0.5000
Cs: 0.7500 0.2500 0.5000
H: 0.0000 0.0000 0.0000
C: 0.5000 0.5000 0.0000
Br: 0.2443 0.2443 0.4886
Br: 0.2443 0.7557 0.0000
Br: 0.3138 0.3138 0.0000
Br: 0.6862 0.6862 0.0000
Br: 0.7557 0.2443 0.0000
Br: 0.7557 0.7557 0.5114


Entry 12:
# Ca2Al3GaAu4

Ca2Al3GaAu4 after structural relaxation (PBE, Alexandria via LeMat-Bulk).

Summary:
**Electronic total energy**: -3.75 eV/atom
**Theoretical density**: 8.18 g/cm³

Cell lengths 4.3879, 4.3879, 10.7428 Å; angles 90.00, 90.00, 90.00 degrees
Fractional coordinates of all 10 atoms:
Ca: 0.0000 0.5000 0.2481
Ca: 0.5000 0.0000 0.7519
Al: 0.0000 0.0000 0.0000
Al: 0.0000 0.5000 0.6280
Al: 0.5000 0.0000 0.3720
Ga: 0.5000 0.5000 0.0000
Au: 0.0000 0.0000 0.5000
Au: 0.0000 0.5000 0.8622
Au: 0.5000 0.0000 0.1378
Au: 0.5000 0.5000 0.5000


Entry 13:
# Ac4GaPI2

Ac4GaPI2 after structural relaxation (PBE, Alexandria via LeMat-Bulk).

Summary:
**Electronic total energy**: -4.54 eV/atom
**Theoretical density**: 7.13 g/cm³
**Formation energy from raw total energies**: -8.36 eV per formula unit

Cell lengths 7.8244, 4.5943, 8.6193 Å; angles 90.00, 108.35, 90.00 degrees
Fractional coordinates of all 8 atoms:
Ac: 0.2279 0.0000 0.1973
Ac: 0.2618 0.5000 0.7994
Ac: 0.7382 0.5000 0.2006
Ac: 0.7721 0.0000 0.8027
Ga: 0.5000 0.0000 0.0000
P: 0.0000 0.5000 0.0000
I: 0.0000 0.0000 0.5000
I: 0.5000 0.5000 0.5000


Entry 14:
# PmGaPd

PmGaPd after structural relaxation (PBE, Alexandria via LeMat-Bulk).

Summary:
**Distance to the lowest polymorph of the same formula**: 0.235 eV/atom
**Electronic total energy**: -4.94 eV/atom
**Theoretical density**: 7.46 g/cm³

Cell lengths 4.6590, 4.6590, 4.6590 Å; angles 60.00, 60.00, 60.00 degrees
Fractional coordinates of all 3 atoms:
Pm: 0.0000 0.0000 0.0000
Ga: 0.5000 0.5000 0.5000
Pd: 0.2500 0.2500 0.2500


Entry 15:
# Ac2Ce3Ir4

Ac2Ce3Ir4 after structural relaxation (PBE, Alexandria via LeMat-Bulk).

Summary:
**Electronic total energy**: -7.44 eV/atom
**Theoretical density**: 11.79 g/cm³

Cell lengths 8.9433, 8.9433, 7.7807 Å; angles 90.00, 90.00, 131.96 degrees
Fractional coordinates of all 18 atoms:
Ac: 0.1027 0.8973 0.9097
Ac: 0.3973 0.6027 0.4097
Ac: 0.6027 0.3973 0.5903
Ac: 0.8973 0.1027 0.0903
Ce: 0.0000 0.0000 0.5000
Ce: 0.0388 0.4612 0.7500
Ce: 0.4612 0.0388 0.2500
Ce: 0.5000 0.5000 0.0000
Ce: 0.5388 0.9612 0.7500
Ce: 0.9612 0.5388 0.2500
Ir: 0.2044 0.7956 0.5426
Ir: 0.2125 0.2875 0.7500
Ir: 0.2875 0.2125 0.2500
Ir: 0.2956 0.7044 0.0426
Ir: 0.7044 0.2956 0.9574
Ir: 0.7125 0.7875 0.7500
Ir: 0.7875 0.7125 0.2500
Ir: 0.7956 0.2044 0.4574


Entry 16:
# Fe2PW

Fe2PW after structural relaxation (PBE, Alexandria via LeMat-Bulk).

Summary:
**Electronic total energy**: -8.72 eV/atom
**Theoretical density**: 11.34 g/cm³

Cell lengths 3.7370, 3.7370, 3.4247 Å; angles 90.00, 90.00, 90.00 degrees
Fractional coordinates of all 4 atoms:
Fe: 0.0000 0.5000 0.0000
Fe: 0.5000 0.0000 0.0000
P: 0.0000 0.0000 0.5000
W: 0.5000 0.5000 0.5000


Entry 17:
# RbTlPb4

RbTlPb4 after structural relaxation (PBE, Alexandria via LeMat-Bulk).

Summary:
**Distance to the lowest polymorph of the same formula**: 0.007 eV/atom
**Electronic total energy**: -3.03 eV/atom
**Theoretical density**: 8.66 g/cm³

Cell lengths 6.7183, 6.7183, 6.7183 Å; angles 60.00, 60.00, 60.00 degrees
Fractional coordinates of all 6 atoms:
Rb: 0.0000 0.0000 0.0000
Tl: 0.7500 0.7500 0.7500
Pb: 0.3751 0.3751 0.3751
Pb: 0.3751 0.3751 0.8748
Pb: 0.3751 0.8748 0.3751
Pb: 0.8748 0.3751 0.3751


Entry 18:
# Ga2HgRh2

Ga2HgRh2 after structural relaxation (PBE, Alexandria via LeMat-Bulk).

Summary:
**Distance to the lowest polymorph of the same formula**: 0.000 eV/atom
**Electronic total energy**: -4.63 eV/atom
**Theoretical density**: 11.30 g/cm³

Cell lengths 7.3305, 7.3305, 2.9859 Å; angles 90.00, 90.00, 90.00 degrees
Fractional coordinates of all 10 atoms:
Ga: 0.1477 0.3523 0.0000
Ga: 0.3523 0.8523 0.0000
Ga: 0.6477 0.1477 0.0000
Ga: 0.8523 0.6477 0.0000
Hg: 0.0000 0.0000 0.5000
Hg: 0.5000 0.5000 0.5000
Rh: 0.1476 0.6476 0.5000
Rh: 0.3524 0.1476 0.5000
Rh: 0.6476 0.8524 0.5000
Rh: 0.8524 0.3524 0.5000


Entry 19:
# KTlVS3

KTlVS3 after structural relaxation (PBE, Alexandria via LeMat-Bulk).

Summary:
**Electronic total energy**: -4.98 eV/atom
**Theoretical density**: 3.61 g/cm³
**Formation energy from raw total energies**: -4.94 eV per formula unit

Cell lengths 8.4356, 8.4356, 6.4982 Å; angles 91.40, 91.40, 128.97 degrees
Fractional coordinates of all 12 atoms:
K: 0.1931 0.8069 0.7500
K: 0.8069 0.1931 0.2500
Tl: 0.4069 0.5931 0.2500
Tl: 0.5931 0.4069 0.7500
V: 0.0530 0.9470 0.2500
V: 0.9470 0.0530 0.7500
S: 0.1955 0.8045 0.2500
S: 0.1992 0.2145 0.5010
S: 0.2145 0.1992 0.0010
S: 0.7855 0.8008 0.9990
S: 0.8008 0.7855 0.4990
S: 0.8045 0.1955 0.7500


Entry 20:
# CsAlHRh2

CsAlHRh2 after structural relaxation (PBE, Alexandria via LeMat-Bulk).

Summary:
**Electronic total energy**: -3.66 eV/atom
**Theoretical density**: 4.00 g/cm³

Cell lengths 4.5459, 4.5459, 7.3725 Å; angles 90.00, 90.00, 90.00 degrees
Fractional coordinates of all 5 atoms:
Cs: 0.0000 0.0000 0.0000
Al: 0.0000 0.0000 0.5000
H: 0.5000 0.5000 0.0000
Rh: 0.0000 0.5000 0.5000
Rh: 0.5000 0.0000 0.5000


Entry 21:
# Mg5In4

Mg5In4 after structural relaxation (PBE, Alexandria via LeMat-Bulk).

Summary:
**Distance to the lowest polymorph of the same formula**: 0.056 eV/atom
**Electronic total energy**: -2.11 eV/atom
**Theoretical density**: 4.42 g/cm³

Cell lengths 7.9314, 7.9314, 7.9314 Å; angles 93.06, 93.06, 153.28 degrees
Fractional coordinates of all 9 atoms:
Mg: 0.0000 0.0000 0.0000
Mg: 0.3340 0.3340 0.6681
Mg: 0.3340 0.6660 0.0000
Mg: 0.6660 0.3340 0.0000
Mg: 0.6660 0.6660 0.3319
In: 0.0000 0.3236 0.3236
In: 0.0000 0.6764 0.6764
In: 0.3236 0.0000 0.3236
In: 0.6764 0.0000 0.6764


Entry 22:
# GaPRhCl2

GaPRhCl2 after structural relaxation (PBE, Alexandria via LeMat-Bulk).

Summary:
**Distance to the lowest polymorph of the same formula**: 0.673 eV/atom
**Electronic total energy**: -3.29 eV/atom
**Theoretical density**: 4.20 g/cm³
**Formation energy from raw total energies**: 3.02 eV per formula unit

Cell lengths 4.6341, 4.6341, 5.0576 Å; angles 90.00, 90.00, 90.00 degrees
Fractional coordinates of all 5 atoms:
Ga: 0.0000 0.0000 0.0000
P: 0.0000 0.0000 0.5000
Rh: 0.5000 0.5000 0.5000
Cl: 0.0000 0.5000 0.0000
Cl: 0.5000 0.0000 0.0000


Entry 23:
# La7Dy2Tm2

La7Dy2Tm2 after structural relaxation (PBE, Alexandria via LeMat-Bulk).

Summary:
**Distance to the lowest polymorph of the same formula**: 0.210 eV/atom
**Electronic total energy**: -4.48 eV/atom
**Theoretical density**: 6.78 g/cm³

Cell lengths 6.9399, 6.9399, 9.8034 Å; angles 90.00, 90.00, 121.96 degrees
Fractional coordinates of all 11 atoms:
La: 0.0000 0.0000 0.0000
La: 0.0000 0.5000 0.3182
La: 0.0000 0.5000 0.6818
La: 0.5000 0.0000 0.3182
La: 0.5000 0.0000 0.6818
La: 0.5000 0.5000 0.1751
La: 0.5000 0.5000 0.8249
Dy: 0.2680 0.7320 0.0000
Dy: 0.7320 0.2680 0.0000
Tm: 0.2524 0.2524 0.5000
Tm: 0.7476 0.7476 0.5000


Entry 24:
# SmEr2Tm7

SmEr2Tm7 after structural relaxation (PBE, Alexandria via LeMat-Bulk).

Summary:
**Distance to the lowest polymorph of the same formula**: 0.000 eV/atom
**Electronic total energy**: -4.49 eV/atom
**Theoretical density**: 9.11 g/cm³

Cell lengths 6.0633, 7.0166, 7.8269 Å; angles 77.14, 75.02, 73.28 degrees
Fractional coordinates of all 10 atoms:
Sm: 0.0000 0.0000 0.0000
Er: 0.1996 0.3004 0.5998
Er: 0.8004 0.6996 0.4002
Tm: 0.0000 0.5000 0.0000
Tm: 0.2009 0.7994 0.5996
Tm: 0.3997 0.1001 0.2006
Tm: 0.4006 0.5991 0.2010
Tm: 0.5994 0.4009 0.7990
Tm: 0.6003 0.8999 0.7994
Tm: 0.7991 0.2006 0.4004


Entry 25:
# Pu6Pd2Pt

Pu6Pd2Pt after structural relaxation (PBE, Alexandria via LeMat-Bulk).

Summary:
**Distance to the lowest polymorph of the same formula**: 0.000 eV/atom
**Electronic total energy**: -11.69 eV/atom
**Theoretical density**: 14.03 g/cm³

Cell lengths 7.9141, 7.9141, 4.0856 Å; angles 90.00, 90.00, 120.00 degrees
Fractional coordinates of all 9 atoms:
Pu: 0.0000 0.2635 0.0000
Pu: 0.0000 0.5935 0.5000
Pu: 0.2635 0.0000 0.0000
Pu: 0.4065 0.4065 0.5000
Pu: 0.5935 0.0000 0.5000
Pu: 0.7365 0.7365 0.0000
Pd: 0.3333 0.6667 0.0000
Pd: 0.6667 0.3333 0.0000
Pt: 0.0000 0.0000 0.5000